First-principles (PBE-GGA) data for an optimized crystal structure of NaHgSe, as listed in Alexandria.

```
NaHgSe
1.0
4.143 0.000 0.000
0.000 4.867 0.000
0.000 -2.433 4.215
Hg Se Na
1 1 1
Direct
0.167 0.333 0.667 Hg
0.166 0.000 0.000 Se
0.667 0.667 0.333 Na
```

Values from the calculation:
- Raw formation energy: -0.368 eV/atom
- Offset from the most stable computed form: 0.66 eV per formula unit
- Symmetry: No. 187
- N(E_F): 1.40 states/eV per cell